Record 1
UBi2Au: optimized geometry, PBE-GGA.

Properties
Formation enthalpy at 0 K = 0.61 eV per formula unit
Symmetry = P4/mmm, No. 123

Cell lengths 4.1288, 4.1288, 6.4020 Å; angles 90.00, 90.00, 90.00 degrees
Each line ends with the local moment (μB).
Sites, in units of the cell vectors:
U 0.5000 0.5000 0.5000  2.49
Bi 0.0000 0.0000 0.2525  0.00
Bi 0.0000 0.0000 0.7475  0.00
Au 0.5000 0.5000 0.0000  0.01

***

Record 2
Fe2SiMo: optimized geometry, PBE-GGA.

Properties
Symmetry = Pm, No. 6
Formation energy (no corrections) = -0.08 eV per atom

Cell lengths 4.0346, 2.6450, 4.8417 Å; angles 79.42, 90.00, 90.00 degrees
Each line ends with the local moment (μB).
Sites, in units of the cell vectors:
Mo 0.0000 0.4745 0.5057  -0.18
Si 0.5000 0.8630 0.7589  -0.01
Fe 0.0000 0.9502 0.0063  1.83
Fe 0.5000 0.2122 0.2291  2.05

***

no.,raw total energy (eV per atom),mass density (Mg/m³)
1,-5.4287,12.98
2,-8.3714,7.71